Entry 1:
This record from Alexandria via LeMat-Bulk describes a crystal of TlFeIr2 relaxed with PBEsol. The functional is SCAN.

Lattice parameters (Å, degrees): 5.329 5.329 5.329 147.94 129.61 60.99
Fractional coordinates of all 4 atoms:
Tl1 0.000 0.000 0.000
Fe1 0.251 0.751 0.500
Ir1 0.474 0.474 0.000
Ir2 0.735 0.235 0.500

Output
Mass density   17.452 Mg/m³
Symmetry   No. 44
DOS(E_F)   3.16 states/eV/cell
Total magnetic moment   3.78 μB/cell
Energy relative to the elements   51 kJ/mol of atoms

=====

Entry 2:
This record from Alexandria via LeMat-Bulk describes a crystal of AlSi4Br relaxed with PBEsol. The functional is SCAN.

Lattice parameters (Å, degrees): 5.234 5.234 5.234 60.00 60.00 60.00
Fractional coordinates of all 6 atoms:
Al1 0.000 0.000 0.000
Si1 0.375 0.375 0.375
Si2 0.375 0.375 0.874
Si3 0.375 0.874 0.375
Si4 0.874 0.375 0.375
Br1 0.750 0.750 0.750

Output
Mass density   3.590 Mg/m³
Symmetry   No. 216
Raw formation energy   0.714 eV per atom
DOS(E_F)   4.11 states/eV/cell
Total magnetic moment   0.00 μB/cell

=====

Entry 3:
This record from Alexandria via LeMat-Bulk describes a crystal of SbMoOs2 relaxed with PBEsol. The functional is SCAN.

Lattice parameters (Å, degrees): 5.289 5.289 5.289 146.39 129.22 62.28
Fractional coordinates of all 4 atoms:
Sb1 0.000 0.000 0.000
Mo1 0.761 0.261 0.500
Os1 0.229 0.729 0.500
Os2 0.498 0.498 0.000

Output
Mass density   15.821 Mg/m³
Symmetry   No. 44
Raw formation energy   0.543 eV per atom
DOS(E_F)   2.88 states/eV/cell
Total magnetic moment   0.00 μB/cell

=====

Entry 4:
This record from Alexandria via LeMat-Bulk describes a crystal of LiSbSe2 relaxed with PBEsol. The functional is SCAN.

Lattice parameters (Å, degrees): 6.930 6.930 6.930 132.20 132.20 69.91
Fractional coordinates of all 8 atoms:
Li1 0.375 0.625 0.750
Li2 0.625 0.375 0.250
Sb1 0.125 0.875 0.250
Sb2 0.875 0.125 0.750
Se1 0.125 0.375 0.750
Se2 0.375 0.125 0.250
Se3 0.625 0.875 0.750
Se4 0.875 0.625 0.250

Output
Mass density   5.315 Mg/m³
Symmetry   No. 141
Raw formation energy   -0.694 eV per atom
DOS(E_F)   0.09 states/eV/cell
Total magnetic moment   0.00 μB/cell

=====

Entry 5:
This record from Alexandria via LeMat-Bulk describes a crystal of SeBr relaxed with PBEsol. The functional is SCAN.

Lattice parameters (Å, degrees): 3.814 3.814 4.072 90.00 90.00 123.74
Fractional coordinates of all 2 atoms:
Se1 0.000 0.000 0.000
Br1 0.500 0.500 0.500

Output
Mass density   5.356 Mg/m³
Symmetry   No. 65
Raw formation energy   0.407 eV per atom
DOS(E_F)   1.17 states/eV/cell
Total magnetic moment   0.00 μB/cell

=====

Entry 6:
This record from Alexandria via LeMat-Bulk describes a crystal of TaTlSCl2 relaxed with PBEsol. The functional is SCAN.

Lattice parameters (Å, degrees): 5.759 5.759 4.471 90.00 90.00 90.00
Fractional coordinates of all 5 atoms:
Ta1 0.000 0.000 0.000
Tl1 0.500 0.500 0.000
S1 0.000 0.000 0.500
Cl1 0.000 0.500 0.500
Cl2 0.500 0.000 0.500

Output
Mass density   5.468 Mg/m³
Symmetry   No. 123
Raw formation energy   0.273 eV per atom
DOS(E_F)   1.11 states/eV/cell
Total magnetic moment   2.15 μB/cell

=====

Entry 7:
This record from Alexandria via LeMat-Bulk describes a crystal of La2ZrAu relaxed with PBEsol. The functional is SCAN.

Lattice parameters (Å, degrees): 6.090 6.090 6.090 145.71 127.47 64.25
Fractional coordinates of all 4 atoms:
La1 0.240 0.240 0.000
La2 0.760 0.760 0.000
Zr1 0.500 0.000 0.500
Au1 0.000 0.500 0.500

Output
Mass density   9.417 Mg/m³
Symmetry   No. 71
DOS(E_F)   4.19 states/eV/cell
Total magnetic moment   0.00 μB/cell
Energy relative to the elements   -18 kJ/mol of atoms

=====

Entry 8:
This record from Alexandria via LeMat-Bulk describes a crystal of SrOsC3 relaxed with PBEsol. The functional is SCAN.

Lattice parameters (Å, degrees): 4.141 4.141 4.141 90.00 90.00 90.00
Fractional coordinates of all 5 atoms:
Sr1 0.000 0.000 0.000
Os1 0.500 0.500 0.500
C1 0.000 0.000 0.500
C2 0.000 0.500 0.000
C3 0.500 0.000 0.000

Output
Mass density   7.341 Mg/m³
Symmetry   No. 221
DOS(E_F)   3.29 states/eV/cell
Total magnetic moment   1.21 μB/cell
Energy relative to the elements   436 kJ/mol of atoms

=====

Entry 9:
This record from Alexandria via LeMat-Bulk describes a crystal of MgAl2P relaxed with PBEsol. The functional is SCAN.

Lattice parameters (Å, degrees): 3.382 3.382 6.032 90.00 90.00 90.00
Fractional coordinates of all 4 atoms:
Mg1 0.000 0.000 0.000
Al1 0.000 0.000 0.463
Al2 0.500 0.500 0.716
P1 0.500 0.500 0.305

Output
Mass density   2.630 Mg/m³
Symmetry   No. 99
DOS(E_F)   1.12 states/eV/cell
Total magnetic moment   0.00 μB/cell
Energy relative to the elements   -5 kJ/mol of atoms

=====

Entry 10:
This record from Alexandria via LeMat-Bulk describes a crystal of TaAg2Sb relaxed with PBEsol. The functional is SCAN.

Lattice parameters (Å, degrees): 5.889 5.889 2.918 103.34 103.34 123.10
Fractional coordinates of all 4 atoms:
Ta1 0.000 0.000 0.000
Ag1 0.000 0.500 0.500
Ag2 0.500 0.000 0.500
Sb1 0.500 0.500 0.000

Output
Mass density   11.606 Mg/m³
Symmetry   No. 12
Raw formation energy   0.318 eV per atom
DOS(E_F)   1.72 states/eV/cell
Total magnetic moment   0.00 μB/cell

=====

Entry 11:
This record from Alexandria via LeMat-Bulk describes a crystal of LiOs2Pb relaxed with PBEsol. The functional is SCAN.

Lattice parameters (Å, degrees): 4.443 4.443 4.443 60.00 60.00 60.00
Fractional coordinates of all 4 atoms:
Li1 0.000 0.000 0.000
Os1 0.250 0.250 0.250
Os2 0.500 0.500 0.500
Pb1 0.750 0.750 0.750

Output
Mass density   15.917 Mg/m³
Symmetry   No. 216
DOS(E_F)   3.21 states/eV/cell
Total magnetic moment   1.54 μB/cell
Energy relative to the elements   59 kJ/mol of atoms

=====

Entry 12:
This record from Alexandria via LeMat-Bulk describes a crystal of AlZn2Cl relaxed with PBEsol. The functional is SCAN.

Lattice parameters (Å, degrees): 4.760 5.115 2.788 90.00 90.00 90.00
Fractional coordinates of all 4 atoms:
Al1 0.000 0.000 0.000
Zn1 0.000 0.500 0.498
Zn2 0.500 0.500 0.998
Cl1 0.500 0.000 0.998

Output
Mass density   4.727 Mg/m³
Symmetry   No. 25
Raw formation energy   -0.144 eV per atom
DOS(E_F)   0.99 states/eV/cell
Total magnetic moment   0.00 μB/cell

=====

Entry 13:
This record from Alexandria via LeMat-Bulk describes a crystal of ReRh2W relaxed with PBEsol. The functional is SCAN.

Lattice parameters (Å, degrees): 2.693 3.906 5.391 90.00 90.00 90.00
Fractional coordinates of all 4 atoms:
Re1 0.000 0.000 0.000
Rh1 0.500 0.500 0.246
Rh2 0.500 0.500 0.754
W1 0.000 0.000 0.500

Output
Mass density   16.861 Mg/m³
Symmetry   No. 47
DOS(E_F)   2.41 states/eV/cell
Total magnetic moment   0.00 μB/cell
Energy relative to the elements   -13 kJ/mol of atoms

=====

Entry 14:
This record from Alexandria via LeMat-Bulk describes a crystal of CsU2O6 relaxed with PBEsol. The functional is SCAN.

Lattice parameters (Å, degrees): 7.856 7.856 7.856 60.00 60.00 60.00
Fractional coordinates of all 18 atoms:
Cs1 0.125 0.125 0.125
Cs2 0.875 0.875 0.875
U1 0.000 0.500 0.500
U2 0.500 0.000 0.500
U3 0.500 0.500 0.000
U4 0.500 0.500 0.500
O1 0.183 0.183 0.567
O2 0.183 0.567 0.183
O3 0.183 0.567 0.567
O4 0.433 0.433 0.817
O5 0.433 0.817 0.433
O6 0.433 0.817 0.817
O7 0.567 0.183 0.183
O8 0.567 0.183 0.567
O9 0.567 0.567 0.183
O10 0.817 0.433 0.433
O11 0.817 0.433 0.817
O12 0.817 0.817 0.433

Output
Mass density   6.829 Mg/m³
Symmetry   No. 227
Raw formation energy   -3.199 eV per atom
DOS(E_F)   10.73 states/eV/cell
Total magnetic moment   2.00 μB/cell

=====

no.,uncorrected energy (eV per atom)
1,-57.64
2,-10.50
3,-53.43
4,-20.65
5,-19.36
6,-32.63
7,-46.70
8,-20.37
9,-7.77
10,-41.33
11,-54.87
12,-10.83
13,-52.22
14,-34.56